! Zr3PN, relaxed, DFT GGA-PBE; values from VASP
&SYSTEM
  ibrav = 0, nat = 10, ntyp = 3
/
ATOMIC_SPECIES
Zr 91.22 Zr.upf
N 14.01 N.upf
P 30.97 P.upf
CELL_PARAMETERS angstrom
3.705 4.358 -0.906
-4.382 -3.063 -2.228
-5.531 5.415 3.432
ATOMIC_POSITIONS crystal
Zr 0.634 0.366 0.058
Zr 0.366 0.634 0.942
Zr 0.936 0.064 0.250
N 0.000 0.000 0.000
Zr 0.634 0.366 0.442
N 0.000 0.000 0.500
P 0.255 0.745 0.250
Zr 0.366 0.634 0.558
P 0.745 0.255 0.750
Zr 0.064 0.936 0.750
! VASP energy ... -0.3405 Ha/atom



! Mg4Sb4Pd5, relaxed, DFT GGA-PBE; values from VASP
&SYSTEM
  ibrav = 0, nat = 13, ntyp = 3
/
ATOMIC_SPECIES
Pd 106.42 Pd.upf
Sb 121.76 Sb.upf
Mg 24.30 Mg.upf
CELL_PARAMETERS angstrom
7.998 0.615 12.542
10.135 -2.827 10.533
11.310 1.433 9.574
ATOMIC_POSITIONS crystal
Pd 0.937 0.937 0.937
Pd 0.438 0.438 0.438
Sb 0.624 0.624 0.624
Sb 0.127 0.127 0.127
Mg 0.251 0.251 0.251
Mg 0.997 0.997 0.997
Mg 0.753 0.753 0.753
Sb 0.875 0.875 0.875
Pd 0.686 0.686 0.686
Pd 0.063 0.063 0.063
Pd 0.189 0.189 0.189
Sb 0.373 0.373 0.373
Mg 0.501 0.501 0.501
! VASP energy ... -0.1602 Ha/atom



! NdGaW, relaxed, DFT GGA-PBE; values from VASP
&SYSTEM
  ibrav = 0, nat = 3, ntyp = 3
/
ATOMIC_SPECIES
Ga 69.72 Ga.upf
Nd 144.24 Nd.upf
W 183.84 W.upf
CELL_PARAMETERS angstrom
-2.923 -2.329 2.712
-4.382 1.399 0.409
-3.404 -2.492 -1.878
ATOMIC_POSITIONS crystal
Ga 0.000 0.000 0.000
Nd 0.250 0.250 0.250
W 0.750 0.750 0.750
! VASP energy ... -0.2301 Ha/atom



! DyScZn, relaxed, DFT GGA-PBE; values from VASP
&SYSTEM
  ibrav = 0, nat = 3, ntyp = 3
/
ATOMIC_SPECIES
Sc 44.96 Sc.upf
Dy 162.50 Dy.upf
Zn 65.41 Zn.upf
CELL_PARAMETERS angstrom
0.000 3.381 3.381
3.381 0.000 3.381
3.381 3.381 0.000
ATOMIC_POSITIONS crystal
Sc 0.750 0.750 0.750
Dy 0.250 0.250 0.250
Zn 0.000 0.000 0.000
! Formation energy from the elements ... 0.04 eV/atom
! Distance to the lowest polymorph of the same formula ... 0 meV per atom



! Cs2Np2SeS3, relaxed, DFT GGA-PBE; values from VASP
&SYSTEM
  ibrav = 0, nat = 8, ntyp = 4
/
ATOMIC_SPECIES
S 32.06 S.upf
Np 237.00 Np.upf
Cs 132.91 Cs.upf
Se 78.96 Se.upf
CELL_PARAMETERS angstrom
-1.958 3.558 -0.835
-0.315 -3.203 -2.614
-13.072 -5.300 8.069
ATOMIC_POSITIONS crystal
S 0.000 0.000 0.587
Np 0.333 0.667 0.499
S 0.667 0.333 0.094
Cs 0.667 0.333 0.744
Se 0.000 0.000 0.906
Cs 0.000 0.000 0.253
S 0.667 0.333 0.410
Np 0.333 0.667 0.007
! VASP energy ... -0.2482 Ha/atom



! Cd2CoRe, relaxed, DFT GGA-PBE; values from VASP
&SYSTEM
  ibrav = 0, nat = 4, ntyp = 3
/
ATOMIC_SPECIES
Cd 112.41 Cd.upf
Co 58.93 Co.upf
Re 186.21 Re.upf
CELL_PARAMETERS angstrom
0.000 3.178 3.178
3.178 0.000 3.178
3.178 3.178 0.000
ATOMIC_POSITIONS crystal
Cd 0.750 0.750 0.750
Co 0.250 0.250 0.250
Cd 0.000 0.000 0.000
Re 0.500 0.500 0.500
! Formation energy from the elements ... 0.74 eV/atom



! Pd, relaxed, DFT GGA-PBE; values from VASP
&SYSTEM
  ibrav = 0, nat = 2, ntyp = 1
/
ATOMIC_SPECIES
Pd 106.42 Pd.upf
CELL_PARAMETERS angstrom
1.422 -2.463 0.000
-1.422 -2.463 0.000
0.000 1.642 -4.291
ATOMIC_POSITIONS crystal
Pd 0.250 0.250 0.750
Pd 0.750 0.750 0.250
! Formation energy from the elements ... 0.03 eV/atom
! Distance to the lowest polymorph of the same formula ... 28 meV per atom



! ZrH2O3, relaxed, DFT GGA-PBE; values from VASP
&SYSTEM
  ibrav = 0, nat = 12, ntyp = 3
/
ATOMIC_SPECIES
Zr 91.22 Zr.upf
H 1.01 H.upf
O 16.00 O.upf
CELL_PARAMETERS angstrom
-4.452 -1.589 -3.420
-4.401 -3.829 -0.082
0.156 5.539 3.715
ATOMIC_POSITIONS crystal
Zr 0.488 0.512 0.750
H 0.943 0.520 0.734
O 0.333 0.345 0.339
O 0.345 0.333 0.839
O 0.993 0.007 0.750
Zr 0.512 0.488 0.250
O 0.655 0.667 0.161
H 0.057 0.480 0.266
O 0.007 0.993 0.250
O 0.667 0.655 0.661
H 0.520 0.943 0.234
H 0.480 0.057 0.766
! Distance to the lowest polymorph of the same formula ... 0 meV per atom



! HoErGe2Ir, relaxed, DFT GGA-PBE; values from VASP
&SYSTEM
  ibrav = 0, nat = 10, ntyp = 4
/
ATOMIC_SPECIES
Er 167.26 Er.upf
Ho 164.93 Ho.upf
Ir 192.22 Ir.upf
Ge 72.64 Ge.upf
CELL_PARAMETERS angstrom
5.224 -2.145 0.000
5.224 2.145 0.000
-4.605 0.000 9.159
ATOMIC_POSITIONS crystal
Er 0.992 0.992 0.670
Ho 0.810 0.810 0.882
Ir 0.728 0.728 0.335
Ho 0.190 0.190 0.118
Ir 0.272 0.272 0.665
Ge 0.354 0.354 0.447
Er 0.008 0.008 0.330
Ge 0.646 0.646 0.553
Ge 0.478 0.478 0.115
Ge 0.522 0.522 0.885
! VASP energy ... -0.2341 Ha/atom



! NdAlSi, relaxed, DFT GGA-PBE; values from VASP
&SYSTEM
  ibrav = 0, nat = 6, ntyp = 3
/
ATOMIC_SPECIES
Al 26.98 Al.upf
Si 28.09 Si.upf
Nd 144.24 Nd.upf
CELL_PARAMETERS angstrom
-1.867 -7.659 -0.029
-6.497 -4.202 1.508
3.382 6.136 -3.613
ATOMIC_POSITIONS crystal
Al 0.667 0.167 0.500
Si 0.083 0.083 0.000
Nd 0.251 0.751 0.500
Nd 0.501 0.501 0.000
Al 0.917 0.917 0.000
Si 0.833 0.333 0.500
! VASP energy ... -0.1952 Ha/atom



! YCuReTc, relaxed, DFT GGA-PBE; values from VASP
&SYSTEM
  ibrav = 0, nat = 4, ntyp = 4
/
ATOMIC_SPECIES
Tc 98.00 Tc.upf
Cu 63.55 Cu.upf
Y 88.91 Y.upf
Re 186.21 Re.upf
CELL_PARAMETERS angstrom
2.920 -2.331 2.584
0.400 0.973 4.419
-1.553 -2.916 3.118
ATOMIC_POSITIONS crystal
Tc 0.500 0.500 0.500
Cu 0.750 0.750 0.750
Y 0.250 0.250 0.250
Re 0.000 0.000 0.000
! Formation energy from the elements ... 0.78 eV/atom
! Distance to the lowest polymorph of the same formula ... 547 meV per atom



! AgGe2Pt, relaxed, DFT GGA-PBE; values from VASP
&SYSTEM
  ibrav = 0, nat = 4, ntyp = 3
/
ATOMIC_SPECIES
Pt 195.08 Pt.upf
Ge 72.64 Ge.upf
Ag 107.87 Ag.upf
CELL_PARAMETERS angstrom
3.212 -3.327 0.076
2.155 -1.044 3.957
-0.878 -4.014 2.123
ATOMIC_POSITIONS crystal
Pt 0.750 0.750 0.750
Ge 0.000 0.000 0.000
Ge 0.250 0.250 0.250
Ag 0.500 0.500 0.500
! VASP energy ... -0.1605 Ha/atom



! LaPmN2Cl2, relaxed, DFT GGA-PBE; values from VASP
&SYSTEM
  ibrav = 0, nat = 6, ntyp = 4
/
ATOMIC_SPECIES
Cl 35.45 Cl.upf
N 14.01 N.upf
Pm 145.00 Pm.upf
La 138.91 La.upf
CELL_PARAMETERS angstrom
3.965 0.000 0.000
0.000 3.965 0.000
0.000 0.000 7.249
ATOMIC_POSITIONS crystal
Cl 0.000 0.000 0.627
N 0.500 0.000 0.997
Cl 0.500 0.500 0.377
N 0.000 0.500 0.997
Pm 0.500 0.500 0.811
La 0.000 0.000 0.192
! VASP energy ... -0.2342 Ha/atom



! LuSiPt2, relaxed, DFT GGA-PBE; values from VASP
&SYSTEM
  ibrav = 0, nat = 8, ntyp = 3
/
ATOMIC_SPECIES
Lu 174.97 Lu.upf
Pt 195.08 Pt.upf
Si 28.09 Si.upf
CELL_PARAMETERS angstrom
5.454 0.000 0.000
0.000 4.216 0.000
-0.024 0.000 6.425
ATOMIC_POSITIONS crystal
Lu 0.147 0.750 0.749
Pt 0.327 0.250 0.465
Si 0.370 0.750 0.249
Si 0.630 0.250 0.751
Pt 0.673 0.750 0.535
Pt 0.328 0.250 0.036
Pt 0.672 0.750 0.964
Lu 0.853 0.250 0.251
! VASP energy ... -0.2385 Ha/atom



! Zr2Sn2Ir, relaxed, DFT GGA-PBE; values from VASP
&SYSTEM
  ibrav = 0, nat = 5, ntyp = 3
/
ATOMIC_SPECIES
Ir 192.22 Ir.upf
Sn 118.71 Sn.upf
Zr 91.22 Zr.upf
CELL_PARAMETERS angstrom
6.927 -2.659 3.279
7.752 2.180 0.974
-7.976 1.460 0.209
ATOMIC_POSITIONS crystal
Ir 0.000 0.000 0.000
Sn 0.250 0.750 0.500
Zr 0.407 0.407 0.000
Zr 0.593 0.593 0.000
Sn 0.750 0.250 0.500
! Distance to the lowest polymorph of the same formula ... 0 meV per atom



! PmAl3Ni, relaxed, DFT GGA-PBE; values from VASP
&SYSTEM
  ibrav = 0, nat = 20, ntyp = 3
/
ATOMIC_SPECIES
Al 26.98 Al.upf
Pm 145.00 Pm.upf
Ni 58.69 Ni.upf
CELL_PARAMETERS angstrom
8.214 0.000 0.000
0.000 4.107 0.000
0.000 0.000 10.764
ATOMIC_POSITIONS crystal
Al 0.055 0.750 0.918
Pm 0.816 0.250 0.510
Al 0.380 0.750 0.216
Pm 0.684 0.750 0.010
Al 0.360 0.750 0.776
Al 0.640 0.250 0.224
Ni 0.102 0.750 0.144
Pm 0.184 0.750 0.490
Ni 0.602 0.750 0.356
Al 0.120 0.250 0.716
Al 0.445 0.250 0.418
Ni 0.398 0.250 0.644
Al 0.860 0.750 0.724
Al 0.620 0.250 0.784
Al 0.555 0.750 0.582
Al 0.140 0.250 0.276
Pm 0.316 0.250 0.990
Al 0.945 0.250 0.082
Ni 0.898 0.250 0.856
Al 0.880 0.750 0.284
! VASP energy ... -0.1800 Ha/atom



! Li2Os, relaxed, DFT GGA-PBE; values from VASP
&SYSTEM
  ibrav = 0, nat = 6, ntyp = 2
/
ATOMIC_SPECIES
Os 190.23 Os.upf
Li 6.94 Li.upf
CELL_PARAMETERS angstrom
-0.790 -4.359 -1.158
-1.468 -2.977 3.154
-4.294 -1.582 -0.168
ATOMIC_POSITIONS crystal
Os 0.000 0.000 0.000
Li 0.625 0.625 0.125
Li 0.125 0.625 0.625
Li 0.625 0.125 0.625
Li 0.625 0.625 0.625
Os 0.250 0.250 0.250
! VASP energy ... -0.1698 Ha/atom



! Pr2CdCu2, relaxed, DFT GGA-PBE; values from VASP
&SYSTEM
  ibrav = 0, nat = 20, ntyp = 3
/
ATOMIC_SPECIES
Pr 140.91 Pr.upf
Cd 112.41 Cd.upf
Cu 63.55 Cu.upf
CELL_PARAMETERS angstrom
5.575 -0.995 0.554
-1.111 1.278 5.433
-5.014 -14.274 -0.251
ATOMIC_POSITIONS crystal
Pr 0.199 0.670 0.866
Pr 0.697 0.667 0.366
Cd 0.723 0.222 0.500
Pr 0.832 0.799 0.628
Cu 0.170 0.669 0.297
Pr 0.168 0.201 0.372
Pr 0.671 0.204 0.872
Cd 0.222 0.222 0.000
Cd 0.277 0.778 0.500
Cu 0.830 0.331 0.703
Cu 0.673 0.674 0.798
Pr 0.303 0.333 0.634
Pr 0.329 0.796 0.128
Cd 0.778 0.778 0.000
Cu 0.128 0.127 0.797
Pr 0.801 0.330 0.134
Cu 0.376 0.875 0.702
Cu 0.624 0.125 0.298
Cu 0.327 0.326 0.202
Cu 0.872 0.873 0.203
! Formation energy from the elements ... -0.25 eV/atom



! TbNbPb, relaxed, DFT GGA-PBE; values from VASP
&SYSTEM
  ibrav = 0, nat = 3, ntyp = 3
/
ATOMIC_SPECIES
Nb 92.91 Nb.upf
Tb 158.93 Tb.upf
Pb 207.20 Pb.upf
CELL_PARAMETERS angstrom
1.932 -4.514 -0.081
-2.828 -3.862 -1.097
0.591 -2.341 -4.276
ATOMIC_POSITIONS crystal
Nb 0.250 0.250 0.250
Tb 0.750 0.750 0.750
Pb 0.000 0.000 0.000
! Distance to the lowest polymorph of the same formula ... 0 meV per atom



! DyErTmIn, relaxed, DFT GGA-PBE; values from VASP
&SYSTEM
  ibrav = 0, nat = 4, ntyp = 4
/
ATOMIC_SPECIES
Dy 162.50 Dy.upf
In 114.82 In.upf
Er 167.26 Er.upf
Tm 168.93 Tm.upf
CELL_PARAMETERS angstrom
-3.919 -2.363 -1.448
1.448 -3.884 2.420
-2.368 1.542 3.891
ATOMIC_POSITIONS crystal
Dy 0.500 0.000 0.000
In 0.000 0.500 0.000
Er 0.500 0.500 0.500
Tm 0.000 0.000 0.500
! VASP energy ... -0.1601 Ha/atom



Number 1: V 162 Å³ per cell. Number 2: V 260 Å³ per cell. Number 3: V 70 Å³ per cell. Number 4: V 77 Å³ per cell. Number 5: V 242 Å³ per cell. Number 6: V 64 Å³ per cell. Number 7: V 30 Å³ per cell. Number 8: V 117 Å³ per cell. Number 9: V 205 Å³ per cell. Number 10: V 130 Å³ per cell. Number 11: V 66 Å³ per cell. Number 12: V 70 Å³ per cell. Number 13: V 114 Å³ per cell. Number 14: V 148 Å³ per cell. Number 15: V 112 Å³ per cell. Number 16: V 363 Å³ per cell. Number 17: V 68 Å³ per cell. Number 18: V 470 Å³ per cell. Number 19: V 84 Å³ per cell. Number 20: V 111 Å³ per cell.